1.
# Ag2B8O13

A crystal of Ag2B8O13 relaxed with PBEsol (SCAN, Alexandria).

a b c (Å): 6.5969 8.7916 17.5367
angles (deg): 90.00 91.16 90.00
Space group P2_1/c (No. 14)
Symmetry-distinct sites (fractional):
Ag1 0.0285 0.0455 0.0820
Ag2 0.4307 0.0179 0.6166
B1 0.0214 0.1961 0.4075
B2 0.0277 0.5054 0.1918
B3 0.0355 0.2375 0.7707
B4 0.2757 0.7339 0.5027
B5 0.3631 0.2210 0.4804
B6 0.4745 0.5694 0.6890
B7 0.4787 0.6899 0.2693
B8 0.4881 0.1315 0.0915
O1 0.0254 0.1885 0.8440
O2 0.0343 0.1074 0.2530
O3 0.0491 0.1460 0.7079
O4 0.0712 0.5537 0.1201
O5 0.0863 0.7352 0.5302
O6 0.2301 0.1615 0.4299
O7 0.3130 0.6367 0.4436
O8 0.3248 0.1812 0.0394
O9 0.4332 0.6738 0.0301
O10 0.4427 0.5225 0.6165
O11 0.4539 0.7205 0.7062
O12 0.4731 0.5343 0.2538
O13 0.4939 0.2405 0.1582

The density of states at the Fermi level is 0.000 states/eV/f.u. As for the crystal system: monoclinic. The calculation puts the volume at 11.1 A^3/atom. Its formation energy from raw total energies is -2.291 eV per atom. The value obtained for the total energy is -11.12 eV per atom.

=====

2.
# AgBO3

A crystal of AgBO3 relaxed with PBEsol (SCAN, Alexandria).

a b c (Å): 4.7931 4.7931 15.4938
angles (deg): 90.00 90.00 120.00
Space group R-3c (No. 167, hexagonal axes)
Symmetry-distinct sites (fractional):
Ag1 0.0000 0.0000 0.0000
B1 0.0000 0.0000 0.2500
O1 0.0000 0.2881 0.2500

The density of states at the Fermi level is 2.301 states/eV/f.u. As for the crystal system: trigonal. The calculation puts the volume at 10.3 A^3/atom. Its formation energy from raw total energies is -1.237 eV per atom. The value obtained for the total energy is -12.73 eV per atom.